(1)
Here is an optimized crystal structure of BaBeIr from Alexandria via LeMat-Bulk. Energies are from PBE-GGA. Values from VASP.

Quantum ESPRESSO input file:
```
&SYSTEM
  ibrav = 0, nat = 6, ntyp = 3
/
ATOMIC_SPECIES
Ba 137.33 Ba.upf
Be 9.01 Be.upf
Ir 192.22 Ir.upf
CELL_PARAMETERS angstrom
4.291 0.000 0.000
0.000 4.291 0.000
0.000 0.000 9.285
ATOMIC_POSITIONS angstrom
Ba 1.073 1.073 2.136
Ba 3.218 3.218 7.149
Be 1.073 1.073 5.329
Be 3.218 3.218 3.956
Ir 1.073 3.218 4.643
Ir 3.218 1.073 4.643
```

Computed properties:
SG: P4/nmm, No. 129
M_tot (μB per cell): 0.57

(2)
Here is an optimized crystal structure of BaBeIr from Alexandria via LeMat-Bulk. Energies are from PBE-GGA. Values from VASP.

Quantum ESPRESSO input file:
```
&SYSTEM
  ibrav = 0, nat = 12, ntyp = 3
/
ATOMIC_SPECIES
Ba 137.33 Ba.upf
Be 9.01 Be.upf
Ir 192.22 Ir.upf
CELL_PARAMETERS angstrom
6.710 0.000 0.000
0.000 6.710 0.000
0.000 0.000 6.710
ATOMIC_POSITIONS angstrom
Ba 0.000 0.000 0.000
Ba 0.000 3.355 3.355
Ba 3.355 0.000 3.355
Ba 3.355 3.355 0.000
Be 0.000 0.000 3.355
Be 0.000 3.355 0.000
Be 3.355 0.000 0.000
Be 3.355 3.355 3.355
Ir 1.678 1.678 5.033
Ir 1.678 5.033 1.678
Ir 5.033 1.678 1.678
Ir 5.033 5.033 5.033
```

Computed properties:
SG: F-43m, No. 216
M_tot (μB per cell): 0.00

Verdict on stability: (1) comes out on top.

(1)
Here is an optimized crystal structure of KBaBe from Alexandria via LeMat-Bulk. Energies are from PBE-GGA. Values from VASP.

Quantum ESPRESSO input file:
```
&SYSTEM
  ibrav = 0, nat = 3, ntyp = 3
/
ATOMIC_SPECIES
K 39.10 K.upf
Ba 137.33 Ba.upf
Be 9.01 Be.upf
CELL_PARAMETERS angstrom
4.660 0.000 0.000
-2.330 4.036 0.000
0.000 0.000 8.051
ATOMIC_POSITIONS angstrom
K 0.000 0.000 0.000
Ba 2.330 1.345 4.192
Be 0.000 2.690 5.930
```

Computed properties:
SG: P3m1, No. 156
M_tot (μB per cell): 0.00

(2)
Here is an optimized crystal structure of KBaBe from Alexandria via LeMat-Bulk. Energies are from PBE-GGA. Values from VASP.

Quantum ESPRESSO input file:
```
&SYSTEM
  ibrav = 0, nat = 6, ntyp = 3
/
ATOMIC_SPECIES
K 39.10 K.upf
Ba 137.33 Ba.upf
Be 9.01 Be.upf
CELL_PARAMETERS angstrom
4.048 0.000 0.000
0.000 4.048 0.000
0.000 0.000 15.757
ATOMIC_POSITIONS angstrom
K 0.000 0.000 0.000
K 2.024 2.024 7.879
Ba 0.000 0.000 3.888
Ba 2.024 2.024 11.767
Be 0.000 0.000 10.117
Be 2.024 2.024 2.239
```

Computed properties:
SG: I4mm, No. 107
M_tot (μB per cell): 0.00

(3)
Here is an optimized crystal structure of KBaBe from Alexandria via LeMat-Bulk. Energies are from PBE-GGA. Values from VASP.

Quantum ESPRESSO input file:
```
&SYSTEM
  ibrav = 0, nat = 12, ntyp = 3
/
ATOMIC_SPECIES
K 39.10 K.upf
Ba 137.33 Ba.upf
Be 9.01 Be.upf
CELL_PARAMETERS angstrom
8.056 0.000 0.000
0.000 8.056 0.000
0.000 0.000 8.056
ATOMIC_POSITIONS angstrom
K 0.000 0.000 0.000
K 0.000 4.028 4.028
K 4.028 0.000 4.028
K 4.028 4.028 0.000
Ba 0.000 0.000 4.028
Ba 0.000 4.028 0.000
Ba 4.028 0.000 0.000
Ba 4.028 4.028 4.028
Be 2.014 2.014 6.042
Be 2.014 6.042 2.014
Be 6.042 2.014 2.014
Be 6.042 6.042 6.042
```

Computed properties:
SG: F-43m, No. 216
M_tot (μB per cell): 1.47

Verdict on stability: (2) comes out on top.

(1)
Here is an optimized crystal structure of KBa3Be from Alexandria via LeMat-Bulk. Energies are from PBE-GGA. Values from VASP.

Quantum ESPRESSO input file:
```
&SYSTEM
  ibrav = 0, nat = 5, ntyp = 3
/
ATOMIC_SPECIES
K 39.10 K.upf
Ba 137.33 Ba.upf
Be 9.01 Be.upf
CELL_PARAMETERS angstrom
6.831 0.000 0.000
0.000 6.831 0.000
0.000 0.000 6.831
ATOMIC_POSITIONS angstrom
K 0.000 0.000 0.000
Ba 0.000 0.000 3.416
Ba 0.000 3.416 0.000
Ba 3.416 0.000 0.000
Be 3.416 3.416 3.416
```

Computed properties:
SG: Pm-3m, No. 221
M_tot (μB per cell): 2.93

(2)
Here is an optimized crystal structure of KBa3Be from Alexandria via LeMat-Bulk. Energies are from PBE-GGA. Values from VASP.

Quantum ESPRESSO input file:
```
&SYSTEM
  ibrav = 0, nat = 5, ntyp = 3
/
ATOMIC_SPECIES
K 39.10 K.upf
Ba 137.33 Ba.upf
Be 9.01 Be.upf
CELL_PARAMETERS angstrom
6.571 0.000 0.000
0.000 6.571 0.000
0.000 0.000 6.571
ATOMIC_POSITIONS angstrom
K 0.000 0.000 0.000
Ba 0.000 3.285 3.285
Ba 3.285 0.000 3.285
Ba 3.285 3.285 0.000
Be 3.285 3.285 3.285
```

Computed properties:
SG: Pm-3m, No. 221
M_tot (μB per cell): 0.00

Verdict on stability: (2) comes out on top.

(1)
Here is an optimized crystal structure of KBaBe3 from Alexandria via LeMat-Bulk. Energies are from PBE-GGA. Values from VASP.

Quantum ESPRESSO input file:
```
&SYSTEM
  ibrav = 0, nat = 5, ntyp = 3
/
ATOMIC_SPECIES
K 39.10 K.upf
Ba 137.33 Ba.upf
Be 9.01 Be.upf
CELL_PARAMETERS angstrom
5.920 0.000 0.000
0.000 5.920 0.000
0.000 0.000 5.920
ATOMIC_POSITIONS angstrom
K 0.000 0.000 0.000
Ba 2.960 2.960 2.960
Be 0.000 2.960 2.960
Be 2.960 0.000 2.960
Be 2.960 2.960 0.000
```

Computed properties:
SG: Pm-3m, No. 221
M_tot (μB per cell): 0.00

(2)
Here is an optimized crystal structure of KBaBe3 from Alexandria via LeMat-Bulk. Energies are from PBE-GGA. Values from VASP.

Quantum ESPRESSO input file:
```
&SYSTEM
  ibrav = 0, nat = 5, ntyp = 3
/
ATOMIC_SPECIES
K 39.10 K.upf
Ba 137.33 Ba.upf
Be 9.01 Be.upf
CELL_PARAMETERS angstrom
5.470 0.000 0.000
0.000 5.470 0.000
0.000 0.000 5.470
ATOMIC_POSITIONS angstrom
K 0.000 0.000 0.000
Ba 2.735 2.735 2.735
Be 0.000 0.000 2.735
Be 0.000 2.735 0.000
Be 2.735 0.000 0.000
```

Computed properties:
SG: Pm-3m, No. 221
M_tot (μB per cell): 0.00

Verdict on stability: (2) comes out on top.

(1)
Here is an optimized crystal structure of BaLaBe3 from Alexandria via LeMat-Bulk. Energies are from PBE-GGA. Values from VASP.

Quantum ESPRESSO input file:
```
&SYSTEM
  ibrav = 0, nat = 5, ntyp = 3
/
ATOMIC_SPECIES
Ba 137.33 Ba.upf
La 138.91 La.upf
Be 9.01 Be.upf
CELL_PARAMETERS angstrom
5.112 0.000 0.000
0.000 5.112 0.000
0.000 0.000 5.112
ATOMIC_POSITIONS angstrom
Ba 0.000 0.000 0.000
La 2.556 2.556 2.556
Be 0.000 0.000 2.556
Be 0.000 2.556 0.000
Be 2.556 0.000 0.000
```

Computed properties:
SG: Pm-3m, No. 221
M_tot (μB per cell): 0.00

(2)
Here is an optimized crystal structure of BaLaBe3 from Alexandria via LeMat-Bulk. Energies are from PBE-GGA. Values from VASP.

Quantum ESPRESSO input file:
```
&SYSTEM
  ibrav = 0, nat = 5, ntyp = 3
/
ATOMIC_SPECIES
Ba 137.33 Ba.upf
La 138.91 La.upf
Be 9.01 Be.upf
CELL_PARAMETERS angstrom
5.330 0.000 0.000
0.000 5.330 0.000
0.000 0.000 5.330
ATOMIC_POSITIONS angstrom
Ba 0.000 0.000 0.000
La 2.665 2.665 2.665
Be 0.000 2.665 2.665
Be 2.665 0.000 2.665
Be 2.665 2.665 0.000
```

Computed properties:
SG: Pm-3m, No. 221
M_tot (μB per cell): 0.76

Verdict on stability: (2) comes out on top.

(1)
Here is an optimized crystal structure of BaLiBe2 from Alexandria via LeMat-Bulk. Energies are from PBE-GGA. Values from VASP.

Quantum ESPRESSO input file:
```
&SYSTEM
  ibrav = 0, nat = 8, ntyp = 3
/
ATOMIC_SPECIES
Ba 137.33 Ba.upf
Li 6.94 Li.upf
Be 9.01 Be.upf
CELL_PARAMETERS angstrom
4.042 0.000 0.000
0.000 5.684 0.000
0.000 0.000 8.226
ATOMIC_POSITIONS angstrom
Ba 0.000 0.000 0.000
Ba 2.021 2.842 4.113
Li 0.000 2.842 6.907
Li 2.021 0.000 2.794
Be 0.000 0.000 4.946
Be 0.000 2.842 1.381
Be 2.021 0.000 5.494
Be 2.021 2.842 0.833
```

Computed properties:
SG: Imm2, No. 44
M_tot (μB per cell): 0.00

(2)
Here is an optimized crystal structure of BaLiBe2 from Alexandria via LeMat-Bulk. Energies are from PBE-GGA. Values from VASP.

Quantum ESPRESSO input file:
```
&SYSTEM
  ibrav = 0, nat = 16, ntyp = 3
/
ATOMIC_SPECIES
Ba 137.33 Ba.upf
Li 6.94 Li.upf
Be 9.01 Be.upf
CELL_PARAMETERS angstrom
4.524 0.000 0.000
0.000 4.524 0.000
0.000 0.000 18.414
ATOMIC_POSITIONS angstrom
Ba 0.000 1.131 6.905
Ba 0.000 3.393 11.509
Ba 2.262 1.131 2.302
Ba 2.262 3.393 16.112
Li 0.000 1.131 16.112
Li 0.000 3.393 2.302
Li 2.262 1.131 11.509
Li 2.262 3.393 6.905
Be 0.000 0.000 0.000
Be 0.000 2.262 0.000
Be 1.131 1.131 13.810
Be 1.131 3.393 4.603
Be 2.262 0.000 9.207
Be 2.262 2.262 9.207
Be 3.393 1.131 13.810
Be 3.393 3.393 4.603
```

Computed properties:
SG: I4_1/amd, No. 141
M_tot (μB per cell): 0.00

(3)
Here is an optimized crystal structure of BaLiBe2 from Alexandria via LeMat-Bulk. Energies are from PBE-GGA. Values from VASP.

Quantum ESPRESSO input file:
```
&SYSTEM
  ibrav = 0, nat = 4, ntyp = 3
/
ATOMIC_SPECIES
Ba 137.33 Ba.upf
Li 6.94 Li.upf
Be 9.01 Be.upf
CELL_PARAMETERS angstrom
3.757 0.000 0.000
0.000 4.372 0.000
-1.116 0.000 5.567
ATOMIC_POSITIONS angstrom
Ba 0.000 0.000 0.000
Li 1.321 0.000 2.784
Be 0.378 2.186 3.260
Be 2.263 2.186 2.307
```

Computed properties:
SG: P2/m, No. 10
M_tot (μB per cell): 0.00

Verdict on stability: (1) comes out on top.